# 1
Density functional theory data (PBE) for a relaxed structure of Rb2TcHI6.

The crystal system is tetragonal. The value obtained for the total energy is -3.023 eV/atom. The value obtained for the calculated volume is 39.45 Å³ per atom.

abc: 8.9210 8.9210 9.9130
angles: 90.00 90.00 90.00
Last column: nearest neighbours and their distance in Å.
Space group I4/mmm (No. 139)
Symmetry-distinct sites (fractional):
Rb: 0.0000 0.5000 0.2500 [4 per cell]  12 I 4.03-4.49
Tc: 0.0000 0.0000 0.0000 [2 per cell]  6 I 2.73-3.02
H: 0.0000 0.0000 0.5000 [2 per cell]  2 I 1.94
I: 0.0000 0.0000 0.3045 [4 per cell]  1 H 1.94
I: 0.2166 0.2166 0.0000 [8 per cell]  1 Tc 2.73



# 2
Density functional theory data (PBE) for a relaxed structure of Rb2TeHI6.

The crystal system is tetragonal. The value obtained for the total energy is -2.382 eV/atom. The value obtained for the calculated volume is 43.58 Å³ per atom.

abc: 9.1897 9.1897 10.3204
angles: 90.00 90.00 90.00
Last column: nearest neighbours and their distance in Å.
Space group I4/mmm (No. 139)
Symmetry-distinct sites (fractional):
Rb: 0.0000 0.5000 0.2500 [4 per cell]  12 I 4.16-4.64
Te: 0.0000 0.0000 0.0000 [2 per cell]  6 I 2.96-3.24
H: 0.0000 0.0000 0.5000 [2 per cell]  2 I 1.92
I: 0.0000 0.0000 0.3141 [4 per cell]  1 H 1.92
I: 0.2279 0.2279 0.0000 [8 per cell]  1 Te 2.96



# 3
Density functional theory data (PBE) for a relaxed structure of RbTeHI2.

The crystal system is tetragonal. The value obtained for the total energy is -1.571 eV/atom. The value obtained for the calculated volume is 73.87 Å³ per atom.

abc: 7.0560 7.0560 7.4182
angles: 90.00 90.00 90.00
Last column: nearest neighbours and their distance in Å.
Space group P4/mmm (No. 123)
Symmetry-distinct sites (fractional):
Rb: 0.0000 0.0000 0.0000 [1 per cell]  4 I 3.53, 2 Te 3.71
Te: 0.0000 0.0000 0.5000 [1 per cell]  2 Rb 3.71
H: 0.5000 0.5000 0.5000 [1 per cell]  4 Te 4.99, 8 I 5.12
I: 0.0000 0.5000 0.0000 [2 per cell]  2 Rb 3.53



- Which value of calculated volume does entry 1 give?
  39.45 Å³ per atom



- Which of these has the lowest calculated volume?
  Rb2TcHI6



Repeat the third record exactly.
Density functional theory data (PBE) for a relaxed structure of RbTeHI2.

The crystal system is tetragonal. The value obtained for the total energy is -1.571 eV/atom. The value obtained for the calculated volume is 73.87 Å³ per atom.

abc: 7.0560 7.0560 7.4182
angles: 90.00 90.00 90.00
Last column: nearest neighbours and their distance in Å.
Space group P4/mmm (No. 123)
Symmetry-distinct sites (fractional):
Rb: 0.0000 0.0000 0.0000 [1 per cell]  4 I 3.53, 2 Te 3.71
Te: 0.0000 0.0000 0.5000 [1 per cell]  2 Rb 3.71
H: 0.5000 0.5000 0.5000 [1 per cell]  4 Te 4.99, 8 I 5.12
I: 0.0000 0.5000 0.0000 [2 per cell]  2 Rb 3.53